VASP calculation (PBE) on an optimized crystal structure of Ac3SbS6.

M_tot: 0.00 μB/f.u.
Energy: -5.81 eV per atom
Space-group type: No. 36
Formation energy without anion corrections: -1.69 eV/atom
V: 604 Å³/cell

Geometry as POSCAR:
```
Ac3SbS6
1.0
7.3196 0.0000 0.0000
0.0000 9.1929 0.0184
0.0000 -2.0334 8.9652
Ac S Sb
6 12 2
Cartesian
6.6668 4.7213 3.5821
3.4874 6.9827 6.3660
7.1472 4.6473 8.2272
7.1472 0.1767 2.6176
3.4874 2.5121 0.7564
3.0070 2.4382 5.4015
1.4086 2.6270 2.8629
5.0684 2.2045 3.1996
1.3168 -0.2867 5.2467
4.6320 0.5005 6.9458
4.9766 7.4462 3.7369
1.4086 4.9549 5.7840
0.9722 6.6590 2.0378
1.6811 -1.8176 8.7932
4.9766 5.1784 0.8913
1.3168 1.9811 8.0923
5.3409 8.9771 0.1904
5.0684 4.5325 6.1207
3.7656 7.2577 1.5607
0.1058 -0.0982 7.4229
```